No. 1
5
Lattice="-4.4249 -2.1082 2.8546 3.2862 -4.1564 2.0243 1.3394 3.2330 4.4639" Properties=species:S:1:pos:R:3 comment="Y3CdSb GGA-PBE relaxed" formation_energy_uncorrected_ev_per_fu=0.0 pbc="T T T"
Y 0.6697 1.6165 2.2319
Y -2.2124 -1.0541 1.4273
Y 1.6431 -2.0782 1.0121
Sb 0.0000 0.0000 0.0000
Cd 0.1004 -1.5158 4.6714

No. 2
10
Lattice="8.2039 0.0000 0.0000 0.0000 8.2039 0.0000 0.0000 0.0000 4.0672" Properties=species:S:1:pos:R:3 comment="Y2CdSb2 GGA-PBE relaxed" formation_energy_uncorrected_ev_per_fu=-3.7 pbc="T T T"
Y 2.8360 1.2660 2.0336
Y 5.3680 6.9380 2.0336
Y 6.9380 2.8360 2.0336
Y 1.2660 5.3680 2.0336
Sb 1.2343 2.8677 0.0000
Sb 5.3362 1.2343 0.0000
Sb 6.9697 5.3362 0.0000
Sb 2.8677 6.9697 0.0000
Cd 4.1020 4.1020 0.0000
Cd 0.0000 0.0000 0.0000